Record 1
Entry from the Alexandria database: a relaxed structure of DyScCoPd (PBE).

a b c (Å): 6.6587 6.6587 6.6587
angles (deg): 90.00 90.00 90.00
With the nearest neighbours (Å) after each atom.
Space group F-43m (No. 216)
Inequivalent atoms, fractional coordinates:
Dy  0.0000  0.0000  0.0000 (multiplicity 4)  4 Co 2.88, 4 Pd 2.88
Sc  0.0000  0.0000  0.5000 (multiplicity 4)  4 Co 2.88, 4 Pd 2.88
Co  0.2500  0.2500  0.7500 (multiplicity 4)  4 Dy 2.88, 4 Sc 2.88
Pd  0.2500  0.2500  0.2500 (multiplicity 4)  4 Dy 2.88, 4 Sc 2.88

- ΔH_f (0 K) (eV per formula unit) = -2.066
- magnetic moment (μB/f.u.) = 0.03


Record 2
Entry from the Alexandria database: a relaxed structure of SmDyCoPd (PBE).

a b c (Å): 6.9346 6.9346 6.9346
angles (deg): 90.00 90.00 90.00
With the nearest neighbours (Å) after each atom.
Space group F-43m (No. 216)
Inequivalent atoms, fractional coordinates:
Sm  0.0000  0.0000  0.0000 (multiplicity 4)  4 Co 3.00, 4 Pd 3.00
Dy  0.0000  0.0000  0.5000 (multiplicity 4)  4 Co 3.00, 4 Pd 3.00
Co  0.2500  0.2500  0.2500 (multiplicity 4)  4 Dy 3.00, 4 Sm 3.00
Pd  0.2500  0.2500  0.7500 (multiplicity 4)  4 Dy 3.00, 4 Sm 3.00

- ΔH_f (0 K) (eV per formula unit) = -1.709
- magnetic moment (μB/f.u.) = 0.24


Record 3
Entry from the Alexandria database: a relaxed structure of DyCoSnPd (PBE).

a b c (Å): 6.6450 6.6450 6.6450
angles (deg): 90.00 90.00 90.00
With the nearest neighbours (Å) after each atom.
Space group F-43m (No. 216)
Inequivalent atoms, fractional coordinates:
Dy  0.0000  0.0000  0.0000 (multiplicity 4)  4 Co 2.88, 4 Pd 2.88
Co  0.2500  0.2500  0.7500 (multiplicity 4)  4 Sn 2.88, 4 Dy 2.88
Sn  0.0000  0.0000  0.5000 (multiplicity 4)  4 Co 2.88, 4 Pd 2.88
Pd  0.2500  0.2500  0.2500 (multiplicity 4)  4 Sn 2.88, 4 Dy 2.88

- ΔH_f (0 K) (eV per formula unit) = -2.015
- magnetic moment (μB/f.u.) = 1.22


| no. | total DFT energy (no corrections) (eV/atom) |
| --- | --- |
| 1 | -6.324 |
| 2 | -5.832 |
| 3 | -5.730 |